# Ce6Ir2OsCl3

Ce6Ir2OsCl3 after structural relaxation (PBE-GGA, the Alexandria database).

uncorrected formation energy: -1.060 eV per atom
Fermi-level density of states: 2.723 states/eV/atom
space group: C2/m, No. 12

abc: 4.060 8.727 9.629
angles: 108.46 102.17 90.00
Positions (direct):
1 Cl 0.834 0.167 0.667
2 Cl 0.166 0.833 0.333
3 Cl 0.500 0.500 0.000
4 Ir 0.167 0.333 0.333
5 Ir 0.833 0.667 0.667
6 Ce 0.992 0.777 0.984
7 Ce 0.345 0.896 0.689
8 Ce 0.676 0.559 0.351
9 Ce 0.655 0.104 0.311
10 Ce 0.008 0.223 0.016
11 Ce 0.324 0.441 0.649
12 Os 0.500 0.000 0.000

***

# Ce8Ir3OsCl4

Ce8Ir3OsCl4 after structural relaxation (PBE-GGA, the Alexandria database).

uncorrected formation energy: -1.087 eV per atom
Fermi-level density of states: 2.799 states/eV/atom
space group: R-3m, No. 166

abc: 8.132 8.732 8.132
angles: 117.76 120.00 90.00
Positions (direct):
1 Ce 0.736 0.707 0.472
2 Ce 0.234 0.708 0.469
3 Ce 0.766 0.292 0.026
4 Ce 0.260 0.292 0.026
5 Ce 0.766 0.292 0.531
6 Ce 0.740 0.708 0.974
7 Ce 0.264 0.293 0.528
8 Ce 0.234 0.708 0.974
9 Ir 0.500 0.500 0.500
10 Ir 0.000 0.500 0.500
11 Ir 0.500 0.500 0.000
12 Cl 0.500 0.000 0.500
13 Cl 0.500 0.000 0.000
14 Cl 0.000 0.000 0.000
15 Cl 0.000 0.000 0.500
16 Os 0.000 0.500 0.000

***

# Ce8IrOs3Cl4

Ce8IrOs3Cl4 after structural relaxation (PBE-GGA, the Alexandria database).

uncorrected formation energy: -0.933 eV per atom
Fermi-level density of states: 2.525 states/eV/atom
space group: R-3m, No. 166

abc: 8.088 8.730 8.088
angles: 117.61 120.00 90.00
Positions (direct):
1 Os 0.500 0.500 0.500
2 Os 0.500 0.500 0.000
3 Os 0.000 0.500 0.500
4 Ce 0.265 0.294 0.529
5 Ce 0.763 0.294 0.031
6 Ce 0.237 0.706 0.474
7 Ce 0.735 0.706 0.471
8 Ce 0.237 0.706 0.969
9 Ce 0.268 0.294 0.031
10 Ce 0.732 0.706 0.969
11 Ce 0.763 0.294 0.526
12 Cl 0.500 0.000 0.500
13 Cl 0.000 0.000 0.000
14 Cl 0.500 0.000 0.000
15 Cl 0.000 0.000 0.500
16 Ir 0.000 0.500 0.000

***

| no. | calculated density (g/cm³) | M_tot (μB/cell) |
| --- | --- | --- |
| 1 | 8.0 | 5.10 |
| 2 | 8.0 | 6.93 |
| 3 | 8.1 | 5.61 |